[1]
# K2HfNi2Se4

An optimized crystal structure of K2HfNi2Se4 (PBE, Alexandria).

a b c (Å): 3.838 7.906 7.348
angles (deg): 107.25 105.14 90.00
Last column: magnetic moment on the atom in μB.
Fractional positions:
1 K 0.135 0.561 0.269  0.00
2 K 0.865 0.439 0.731  0.00
3 Hf 0.000 0.000 0.000  -0.02
4 Ni 0.682 0.992 0.363  0.22
5 Ni 0.318 0.008 0.637  0.22
6 Se 0.198 0.174 0.396  0.03
7 Se 0.802 0.826 0.604  0.03
8 Se 0.518 0.771 0.037  0.01
9 Se 0.482 0.229 0.963  0.01

Summary:
Calculated volume   205 Å³ per cell
Crystal system   monoclinic
Raw formation energy   -0.928 eV/atom
Total magnetization   0.51 μB/f.u.

[2]
# K3Hf2NiSe6

An optimized crystal structure of K3Hf2NiSe6 (PBE, Alexandria).

a b c (Å): 6.838 6.838 7.925
angles (deg): 98.25 98.25 120.01
Last column: magnetic moment on the atom in μB.
Fractional positions:
1 K 0.165 0.835 0.500  0.00
2 K 0.835 0.165 0.500  0.00
3 K 0.500 0.500 0.500  0.00
4 Hf 0.333 0.667 0.000  -0.06
5 Hf 0.667 0.333 0.000  -0.06
6 Ni 0.000 0.000 0.000  0.90
7 Se 0.936 0.603 0.808  0.03
8 Se 0.731 0.731 0.191  0.03
9 Se 0.064 0.397 0.192  0.03
10 Se 0.603 0.936 0.808  0.03
11 Se 0.269 0.269 0.809  0.03
12 Se 0.397 0.064 0.192  0.03

Summary:
Calculated volume   307 Å³ per cell
Crystal system   monoclinic
Raw formation energy   -1.091 eV/atom
Total magnetization   0.98 μB/f.u.

[3]
# K2Hf2NiSe6

An optimized crystal structure of K2Hf2NiSe6 (PBE, Alexandria).

a b c (Å): 6.620 6.620 8.206
angles (deg): 97.90 97.90 119.93
Last column: magnetic moment on the atom in μB.
Fractional positions:
1 K 0.832 0.168 0.000  0.00
2 K 0.168 0.832 0.000  0.00
3 Hf 0.332 0.668 0.500  0.03
4 Hf 0.668 0.332 0.500  0.03
5 Ni 0.000 0.000 0.500  1.20
6 Se 0.738 0.738 0.688  0.07
7 Se 0.067 0.390 0.690  0.07
8 Se 0.262 0.262 0.312  0.07
9 Se 0.390 0.067 0.690  0.07
10 Se 0.933 0.610 0.310  0.07
11 Se 0.610 0.933 0.310  0.07

Summary:
Calculated volume   300 Å³ per cell
Crystal system   monoclinic
Raw formation energy   -1.105 eV/atom
Total magnetization   1.99 μB/f.u.

[4]
# KHfTaNi2

An optimized crystal structure of KHfTaNi2 (PBE, Alexandria).

a b c (Å): 4.609 5.008 4.609
angles (deg): 90.00 90.00 90.00
Last column: magnetic moment on the atom in μB.
Fractional positions:
1 Ni 0.000 0.000 0.500  0.03
2 Ni 0.500 0.000 0.000  0.01
3 K 0.000 0.500 0.000  0.03
4 Hf 0.000 0.000 0.000  -0.11
5 Ta 0.500 0.500 0.500  1.20

Summary:
Calculated volume   106 Å³ per cell
Crystal system   tetragonal
Formation enthalpy at 0 K   1893 meV/atom
Total magnetization   1.68 μB/f.u.

[5]
# K2Hf2NiTe6

An optimized crystal structure of K2Hf2NiTe6 (PBE, Alexandria).

a b c (Å): 7.099 7.099 8.830
angles (deg): 98.14 98.14 120.07
Last column: magnetic moment on the atom in μB.
Fractional positions:
1 K 0.830 0.170 0.000  0.00
2 K 0.170 0.830 0.000  0.00
3 Hf 0.331 0.669 0.500  0.06
4 Hf 0.669 0.331 0.500  0.06
5 Ni 0.000 0.000 0.500  1.04
6 Te 0.745 0.745 0.687  0.07
7 Te 0.070 0.387 0.691  0.07
8 Te 0.255 0.255 0.313  0.07
9 Te 0.387 0.070 0.691  0.07
10 Te 0.930 0.613 0.309  0.07
11 Te 0.613 0.930 0.309  0.07

Summary:
Calculated volume   369 Å³ per cell
Crystal system   monoclinic
Raw formation energy   -0.715 eV/atom
Total magnetization   2.03 μB/f.u.

[6]
# K2HfNp3O12

An optimized crystal structure of K2HfNp3O12 (PBE, Alexandria).

a b c (Å): 7.659 7.659 7.659
angles (deg): 61.97 61.97 61.97
Last column: magnetic moment on the atom in μB.
Fractional positions:
1 K 0.657 0.657 0.657  0.00
2 K 0.343 0.343 0.343  0.00
3 Hf 0.000 0.000 0.000  -0.02
4 Np 0.500 0.000 0.000  1.20
5 Np 0.000 0.500 0.000  1.20
6 Np 0.000 0.000 0.500  1.20
7 O 0.318 0.318 0.941  -0.06
8 O 0.935 0.935 0.316  -0.04
9 O 0.316 0.935 0.935  -0.04
10 O 0.941 0.318 0.318  -0.06
11 O 0.935 0.316 0.935  -0.04
12 O 0.318 0.941 0.318  -0.06
13 O 0.682 0.682 0.059  -0.06
14 O 0.065 0.065 0.684  -0.04
15 O 0.684 0.065 0.065  -0.04
16 O 0.059 0.682 0.682  -0.06
17 O 0.065 0.684 0.065  -0.04
18 O 0.682 0.059 0.682  -0.06

Summary:
Calculated volume   332 Å³ per cell
Crystal system   trigonal
Raw formation energy   -2.773 eV/atom
Total magnetization   3.00 μB/f.u.

[7]
# KHfNpO6

An optimized crystal structure of KHfNpO6 (PBE, Alexandria).

a b c (Å): 7.526 7.955 7.707
angles (deg): 121.07 119.22 90.00
Fractional positions:
1 K 0.927 0.677 0.855
2 K 0.073 0.323 0.145
3 Hf 0.500 0.000 0.500
4 Hf 0.000 0.000 0.500
5 Np 0.500 0.500 0.000
6 Np 0.500 0.000 0.000
7 O 0.434 0.684 0.867
8 O 0.818 0.068 0.635
9 O 0.807 0.060 0.240
10 O 0.433 0.680 0.240
11 O 0.433 0.060 0.240
12 O 0.807 0.680 0.240
13 O 0.566 0.316 0.133
14 O 0.182 0.932 0.365
15 O 0.193 0.940 0.760
16 O 0.567 0.320 0.760
17 O 0.567 0.940 0.760
18 O 0.193 0.320 0.760

Summary:
Calculated volume   325 Å³ per cell
Crystal system   orthorhombic
Raw formation energy   -2.738 eV/atom
Total magnetization   0.00 μB/f.u.

[8]
# KHf2NpO8

An optimized crystal structure of KHf2NpO8 (PBE, Alexandria).

a b c (Å): 5.068 5.062 6.746
angles (deg): 90.00 90.00 87.81
Fractional positions:
1 K 0.000 0.000 0.500
2 Hf 0.500 0.500 0.736
3 Hf 0.500 0.500 0.264
4 Np 0.000 0.000 0.000
5 O 0.208 0.790 0.201
6 O 0.706 0.708 0.000
7 O 0.792 0.210 0.201
8 O 0.792 0.210 0.799
9 O 0.294 0.292 0.000
10 O 0.208 0.790 0.799
11 O 0.666 0.669 0.500
12 O 0.334 0.331 0.500

Summary:
Calculated volume   173 Å³ per cell
Crystal system   monoclinic
Raw formation energy   -2.790 eV/atom
Total magnetization   0.00 μB/f.u.

Copy entry 8 word for word.
# KHf2NpO8

An optimized crystal structure of KHf2NpO8 (PBE, Alexandria).

a b c (Å): 5.068 5.062 6.746
angles (deg): 90.00 90.00 87.81
Fractional positions:
1 K 0.000 0.000 0.500
2 Hf 0.500 0.500 0.736
3 Hf 0.500 0.500 0.264
4 Np 0.000 0.000 0.000
5 O 0.208 0.790 0.201
6 O 0.706 0.708 0.000
7 O 0.792 0.210 0.201
8 O 0.792 0.210 0.799
9 O 0.294 0.292 0.000
10 O 0.208 0.790 0.799
11 O 0.666 0.669 0.500
12 O 0.334 0.331 0.500

Summary:
Calculated volume   173 Å³ per cell
Crystal system   monoclinic
Raw formation energy   -2.790 eV/atom
Total magnetization   0.00 μB/f.u.

- Which formula does entry 4 have?
  KHfTaNi2

Please write out number 2 again, unchanged.
# K3Hf2NiSe6

An optimized crystal structure of K3Hf2NiSe6 (PBE, Alexandria).

a b c (Å): 6.838 6.838 7.925
angles (deg): 98.25 98.25 120.01
Last column: magnetic moment on the atom in μB.
Fractional positions:
1 K 0.165 0.835 0.500  0.00
2 K 0.835 0.165 0.500  0.00
3 K 0.500 0.500 0.500  0.00
4 Hf 0.333 0.667 0.000  -0.06
5 Hf 0.667 0.333 0.000  -0.06
6 Ni 0.000 0.000 0.000  0.90
7 Se 0.936 0.603 0.808  0.03
8 Se 0.731 0.731 0.191  0.03
9 Se 0.064 0.397 0.192  0.03
10 Se 0.603 0.936 0.808  0.03
11 Se 0.269 0.269 0.809  0.03
12 Se 0.397 0.064 0.192  0.03

Summary:
Calculated volume   307 Å³ per cell
Crystal system   monoclinic
Raw formation energy   -1.091 eV/atom
Total magnetization   0.98 μB/f.u.